No. 1
# Ho2ErPuSc4 PBE optimized geometry
data_Ho2ErPuSc4
_chemical_formula_sum 'Ho8 Er4 Pu4 Sc16'
_cell_length_a 11.6624
_cell_length_b 6.7396
_cell_length_c 11.5083
_cell_angle_alpha 90.00
_cell_angle_beta 109.67
_cell_angle_gamma 90.00
_symmetry_space_group_name_H-M 'C 1 2/m 1'
_symmetry_Int_Tables_number 12
loop_
_symmetry_equiv_pos_as_xyz
'x,y,z'
'-x,-y,-z'
'-x,y,-z'
'x,-y,z'
'x+1/2,y+1/2,z'
'-x+1/2,-y+1/2,-z'
'-x+1/2,y+1/2,-z'
'x+1/2,-y+1/2,z'
loop_
_atom_site_label
_atom_site_type_symbol
_atom_site_fract_x
_atom_site_fract_y
_atom_site_fract_z
Ho1 Ho 0.0000 0.0000 0.0000
Ho2 Ho 0.0000 0.0000 0.5000
Ho3 Ho 0.2500 0.2500 0.0000
Er1 Er 0.2500 0.2500 0.5000
Pu1 Pu 0.0000 0.5000 0.0000
Pu2 Pu 0.0000 0.5000 0.5000
Sc1 Sc 0.0002 0.2568 0.2502
Sc2 Sc 0.2453 0.5000 0.2446
Sc3 Sc 0.2449 0.5000 0.7440
# Raw total energy in eV per cell: -211.4
# Crystal system: monoclinic
# DFT formation energy in eV per atom: 0.065

No. 2
# SmDy4Ho2Tm PBE optimized geometry
data_SmDy4Ho2Tm
_chemical_formula_sum 'Sm1 Dy4 Ho2 Tm1'
_cell_length_a 5.0002
_cell_length_b 5.0002
_cell_length_c 10.0230
_cell_angle_alpha 90.00
_cell_angle_beta 90.00
_cell_angle_gamma 90.00
_symmetry_space_group_name_H-M 'P 4/m m m'
_symmetry_Int_Tables_number 123
_symmetry_space_group_name_Hall '-P 4 2'
loop_
_atom_site_label
_atom_site_type_symbol
_atom_site_fract_x
_atom_site_fract_y
_atom_site_fract_z
Sm1 Sm 0.0000 0.0000 0.0000
Dy1 Dy 0.0000 0.5000 0.2522
Ho1 Ho 0.0000 0.0000 0.5000
Ho2 Ho 0.5000 0.5000 0.0000
Tm1 Tm 0.5000 0.5000 0.5000
# Raw total energy in eV per cell: -36.6
# Crystal system: tetragonal
# DFT formation energy in eV per atom: 0.019

No. 3
# Li2MnH4 PBE optimized geometry
data_Li2MnH4
_chemical_formula_sum 'Li16 Mn8 H32'
_cell_length_a 4.5086
_cell_length_b 4.5086
_cell_length_c 20.3504
_cell_angle_alpha 90.00
_cell_angle_beta 90.00
_cell_angle_gamma 90.00
_symmetry_space_group_name_H-M 'I 41/a c d'
_symmetry_Int_Tables_number 142
loop_
_symmetry_equiv_pos_as_xyz
'x,y,z'
'-x,-y,-z'
'-y+1/4,x+3/4,z+1/4'
'y+1/4,-x+3/4,-z+1/4'
'-x+1/2,-y,z+1/2'
'x+1/2,y,-z+1/2'
'y+1/4,-x+1/4,z+3/4'
'-y+1/4,x+1/4,-z+3/4'
'x,-y,-z+1/2'
'-x,y,z+1/2'
'-y+1/4,-x+1/4,-z+1/4'
'y+1/4,x+1/4,z+1/4'
'-x+1/2,y,-z'
'x+1/2,-y,z'
'y+1/4,x+3/4,-z+3/4'
'-y+1/4,-x+3/4,z+3/4'
'x+1/2,y+1/2,z+1/2'
'-x+1/2,-y+1/2,-z+1/2'
'-y+3/4,x+1/4,z+3/4'
'y+3/4,-x+1/4,-z+3/4'
'-x,-y+1/2,z'
'x,y+1/2,-z'
'y+3/4,-x+3/4,z+1/4'
'-y+3/4,x+3/4,-z+1/4'
'x+1/2,-y+1/2,-z'
'-x+1/2,y+1/2,z'
'-y+3/4,-x+3/4,-z+3/4'
'y+3/4,x+3/4,z+3/4'
'-x,y+1/2,-z+1/2'
'x,-y+1/2,z+1/2'
'y+3/4,x+1/4,-z+1/4'
'-y+3/4,-x+1/4,z+1/4'
loop_
_atom_site_label
_atom_site_type_symbol
_atom_site_fract_x
_atom_site_fract_y
_atom_site_fract_z
Li1 Li 0.0000 0.2500 0.0499
Mn1 Mn 0.0000 0.2500 0.3750
H1 H 0.0000 0.2500 0.2930
H2 H 0.1859 0.0641 0.1250
# Raw total energy in eV per cell: -222.2
# E above lowest polymorph in meV/atom: 5
# Crystal system: tetragonal

No. 4
# OsRuO4 PBE optimized geometry
data_OsRuO4
_chemical_formula_sum 'Os4 Ru4 O16'
_cell_length_a 6.4201
_cell_length_b 6.4201
_cell_length_c 6.3480
_cell_angle_alpha 90.00
_cell_angle_beta 90.00
_cell_angle_gamma 90.00
_symmetry_space_group_name_H-M 'I 41 m d'
_symmetry_Int_Tables_number 109
_symmetry_space_group_name_Hall 'I 4bw -2'
loop_
_atom_site_label
_atom_site_type_symbol
_atom_site_fract_x
_atom_site_fract_y
_atom_site_fract_z
Os1 Os 0.0000 0.0000 0.0000
Ru1 Ru 0.0000 0.0000 0.4980
O1 O 0.0000 0.3046 0.0026
O2 O 0.0000 0.3091 0.4958
# Raw total energy in eV per cell: -184.3
# E above lowest polymorph in meV/atom: 0
# Crystal system: tetragonal
# E_form (uncorrected) in meV per atom: -955

No. 5
# CeSnPd PBE optimized geometry
data_CeSnPd
_chemical_formula_sum 'Ce2 Sn2 Pd2'
_cell_length_a 3.3930
_cell_length_b 3.3930
_cell_length_c 11.6310
_cell_angle_alpha 90.00
_cell_angle_beta 90.00
_cell_angle_gamma 90.00
_symmetry_space_group_name_H-M 'I 4 m m'
_symmetry_Int_Tables_number 107
_symmetry_space_group_name_Hall 'I 4 -2'
loop_
_atom_site_label
_atom_site_type_symbol
_atom_site_fract_x
_atom_site_fract_y
_atom_site_fract_z
Ce1 Ce 0.0000 0.0000 0.0000
Sn1 Sn 0.0000 0.0000 0.2997
Pd1 Pd 0.0000 0.0000 0.6693
# Raw total energy in eV per cell: -33.8
# Crystal system: tetragonal
# DFT formation energy in eV per atom: -0.594

No. 6
# CuMoOs PBE optimized geometry
data_CuMoOs
_chemical_formula_sum 'Cu4 Mo4 Os4'
_cell_length_a 2.9586
_cell_length_b 4.4135
_cell_length_c 13.3867
_cell_angle_alpha 90.00
_cell_angle_beta 90.00
_cell_angle_gamma 90.00
_symmetry_space_group_name_H-M 'F m m 2'
_symmetry_Int_Tables_number 42
_symmetry_space_group_name_Hall 'F 2 -2'
loop_
_atom_site_label
_atom_site_type_symbol
_atom_site_fract_x
_atom_site_fract_y
_atom_site_fract_z
Cu1 Cu 0.0000 0.0000 0.0000
Mo1 Mo 0.0000 0.0000 0.6677
Os1 Os 0.0000 0.0000 0.3331
# Raw total energy in eV per cell: -100.1
# E above lowest polymorph in meV/atom: 236
# Crystal system: orthorhombic
# DFT formation energy in eV per atom: 0.378